w | Li3Cr3GaO8 PBE with a Hubbard U optimized geometry; DOS at the Fermi energy = 4.94 states/eV per cell
1.0
5.9192 0.0000 0.0000
-2.9596 5.1187 -0.0198
0.0000 -3.3977 4.8840
O Cr Li Ga
8 3 3 1
Direct
0.7607 0.5214 0.2843
0.7419 0.4838 0.7249
0.2581 0.5162 0.2751
0.2578 0.0225 0.2849
0.7647 0.0225 0.2849
0.2393 0.4786 0.7157
0.7422 0.9775 0.7151
0.2353 0.9775 0.7151
0.0000 0.5000 0.5000
0.5000 0.5000 0.5000
0.5000 0.0000 0.5000
0.5000 0.5000 0.0000
0.0000 0.5000 0.0000
0.0000 0.0000 0.0000
0.0000 0.0000 0.5000

x | Li3Cr3GaO8 PBE with a Hubbard U optimized geometry; DOS at the Fermi energy = 0.02 states/eV per cell
1.0
5.1450 -1.6158 1.0981
-3.4708 7.4317 0.2725
2.9741 -2.8376 10.0687
O Li Cr Ga
16 6 6 2
Direct
0.7744 0.0444 0.2465
0.9779 0.5822 0.7414
0.3100 0.9329 0.1296
0.9651 0.8487 0.9743
0.6123 0.5471 0.1780
0.0662 0.9908 0.6288
0.5197 0.7520 0.8524
0.5096 0.2404 0.3186
0.0680 0.2133 0.8788
0.0874 0.6295 0.2870
0.7398 0.8189 0.4393
0.5746 0.0679 0.7315
0.2349 0.3576 0.9868
0.0399 0.3659 0.4654
0.2423 0.9007 0.5147
0.4719 0.4992 0.5949
0.4860 0.9973 0.9226
0.4873 0.4825 0.7678
0.0370 0.3618 0.2840
0.9793 0.5838 0.4904
0.7587 0.1740 0.1239
0.7577 0.0591 0.4323
0.0446 0.9432 0.8059
0.2669 0.6575 0.0681
0.5584 0.7894 0.6560
0.2635 0.9368 0.3349
0.7581 0.5315 0.9581
0.5682 0.5023 0.3718
0.8639 0.8511 0.1734
0.9769 0.3386 0.6426

Name the least stable of them. x.